The following is a GGA-PBE calculation of an optimized crystal structure of YRuCl, from the Alexandria database.

extended XYZ file:
```
3
Lattice="4.442 0.000 0.000 2.221 3.847 0.000 2.221 1.282 3.627" Properties=species:S:1:pos:R:3 pbc="T T T"
Cl 4.442 2.565 1.813
Ru 2.221 1.282 0.907
Y 0.000 0.000 0.000
```

The calculation puts the density at 6.04 Mg/m³. Its formation energy from raw total energies is 0.003 eV per atom. The value obtained for the volume is 62 Å³/cell. The value obtained for the density of states at the Fermi level is 0.813 states/eV/atom. For the uncorrected energy, the calculation gives -5.859 eV/atom.

The following is a GGA-PBE calculation of an optimized crystal structure of YRuCl2, from the Alexandria database.

extended XYZ file:
```
4
Lattice="3.409 0.000 0.000 0.000 5.205 -0.040 0.000 3.598 4.170" Properties=species:S:1:pos:R:3 pbc="T T T"
Y 0.000 1.799 2.085
Cl 1.705 2.603 -0.020
Cl 0.000 0.000 0.000
Ru 1.705 4.402 2.065
```

For the offset from the most stable computed form, the calculation gives 0.3418 eV/atom. The calculation puts the density at 5.81 Mg/m³. Its formation energy from raw total energies is -0.497 eV per atom. The value obtained for the volume is 75 Å³/cell. The value obtained for the density of states at the Fermi level is 0.715 states/eV/atom. For the uncorrected energy, the calculation gives -5.356 eV/atom.